Material: SrDyPa2O8
Method: DFT, PBE
State: optimized geometry

Output
- Space-group type: I-4m2 (119)
- DOS at the Fermi energy: 0.85 states/eV per atom
- Formation energy (no corrections): -3.355 eV/atom

a b c (Å): 6.6727 6.6727 6.6727
angles (deg): 131.26 131.26 71.40
Sites, in units of the cell vectors:
Sr1 0.0000 0.0000 0.0000
Dy1 0.2500 0.7500 0.5000
Pa1 0.5000 0.5000 0.0000
Pa2 0.7500 0.2500 0.5000
O1 0.1300 0.1417 0.5297
O2 0.1300 0.6003 0.9883
O3 0.3997 0.3880 0.5297
O4 0.3997 0.8700 0.0117
O5 0.6120 0.1417 0.0117
O6 0.6120 0.6003 0.4703
O7 0.8583 0.3880 0.9883
O8 0.8583 0.8700 0.4703